A plane-wave DFT calculation with GGA-PBE was carried out for MgNb after structural relaxation.

Cell and atoms, written as CIF:
```
data_MgNb
_chemical_formula_sum 'Mg6 Nb6'
_cell_length_a 9.8858
_cell_length_b 9.8858
_cell_length_c 2.9504
_cell_angle_alpha 90.00
_cell_angle_beta 90.00
_cell_angle_gamma 120.00
_space_group_name_H-M_alt 'P 63/m'
_space_group_IT_number 176
_space_group_name_Hall '-P 6c'
loop_
_atom_site_label
_atom_site_type_symbol
_atom_site_fract_x
_atom_site_fract_y
_atom_site_fract_z
Mg1 Mg 0.1148 0.8028 0.2500
Nb1 Nb 0.1397 0.5518 0.7500
```

Computed properties:
Formation enthalpy at 0 K in kJ/mol of formula units: 53
V in Å³/atom: 20.81

A plane-wave DFT calculation with GGA-PBE was carried out for MgNbNi4 after structural relaxation.

Cell and atoms, written as CIF:
```
data_MgNbNi4
_chemical_formula_sum 'Mg4 Nb4 Ni16'
_cell_length_a 3.7812
_cell_length_b 16.6122
_cell_length_c 5.1280
_cell_angle_alpha 90.00
_cell_angle_beta 90.00
_cell_angle_gamma 90.00
_space_group_name_H-M_alt 'C m c m'
_space_group_IT_number 63
_space_group_name_Hall '-C 2c 2'
loop_
_atom_site_label
_atom_site_type_symbol
_atom_site_fract_x
_atom_site_fract_y
_atom_site_fract_z
Mg1 Mg 0.0000 0.0860 0.2500
Nb1 Nb 0.0000 0.2259 0.7500
Ni1 Ni 0.0000 0.0716 0.7500
Ni2 Ni 0.0000 0.3514 0.0180
Ni3 Ni 0.0000 0.5000 0.0000
```

Computed properties:
Formation enthalpy at 0 K in kJ/mol of formula units: -67
V in Å³/atom: 13.42

A plane-wave DFT calculation with GGA-PBE was carried out for MgNbNi3 after structural relaxation.

Cell and atoms, written as CIF:
```
data_MgNbNi3
_chemical_formula_sum 'Mg1 Nb1 Ni3'
_cell_length_a 4.5588
_cell_length_b 4.5588
_cell_length_c 4.5588
_cell_angle_alpha 90.00
_cell_angle_beta 90.00
_cell_angle_gamma 90.00
_space_group_name_H-M_alt 'P m -3 m'
_space_group_IT_number 221
_space_group_name_Hall '-P 4 2 3'
loop_
_atom_site_label
_atom_site_type_symbol
_atom_site_fract_x
_atom_site_fract_y
_atom_site_fract_z
Mg1 Mg 0.0000 0.0000 0.0000
Nb1 Nb 0.5000 0.5000 0.5000
Ni1 Ni 0.0000 0.5000 0.5000
```

Computed properties:
Formation enthalpy at 0 K in kJ/mol of formula units: 445
ΔE to the lowest computed polymorph in meV/atom: 990
V in Å³/atom: 18.95

A plane-wave DFT calculation with GGA-PBE was carried out for MgNbNi3 after structural relaxation.

Cell and atoms, written as CIF:
```
data_MgNbNi3
_chemical_formula_sum 'Mg4 Nb4 Ni12'
_cell_length_a 4.8895
_cell_length_b 12.8854
_cell_length_c 4.5518
_cell_angle_alpha 90.00
_cell_angle_beta 90.00
_cell_angle_gamma 90.00
_space_group_name_H-M_alt 'C m c m'
_space_group_IT_number 63
_space_group_name_Hall '-C 2c 2'
loop_
_atom_site_label
_atom_site_type_symbol
_atom_site_fract_x
_atom_site_fract_y
_atom_site_fract_z
Mg1 Mg 0.0000 0.0688 0.2500
Nb1 Nb 0.0000 0.2998 0.7500
Ni1 Ni 0.0000 0.5000 0.0000
Ni2 Ni 0.2453 0.3618 0.2500
```

Computed properties:
Formation enthalpy at 0 K in kJ/mol of formula units: -33
ΔE to the lowest computed polymorph in meV/atom: 0
V in Å³/atom: 14.34

A plane-wave DFT calculation with GGA-PBE was carried out for Mg14NbNi after structural relaxation.

Cell and atoms, written as CIF:
```
data_Mg14NbNi
_chemical_formula_sum 'Mg28 Nb2 Ni2'
_cell_length_a 9.9595
_cell_length_b 6.1592
_cell_length_c 10.9035
_cell_angle_alpha 90.00
_cell_angle_beta 90.00
_cell_angle_gamma 90.00
_space_group_name_H-M_alt 'A m m 2'
_space_group_IT_number 38
loop_
_space_group_symop_operation_xyz
'x,y,z'
'-x,-y,z'
'-x,y,z'
'x,-y,z'
'x,y+1/2,z+1/2'
'-x,-y+1/2,z+1/2'
'-x,y+1/2,z+1/2'
'x,-y+1/2,z+1/2'
loop_
_atom_site_label
_atom_site_type_symbol
_atom_site_fract_x
_atom_site_fract_y
_atom_site_fract_z
Mg1 Mg 0.0000 0.0000 0.0000
Mg2 Mg 0.0000 0.0000 0.4985
Mg3 Mg 0.0000 0.2472 0.2500
Mg4 Mg 0.2517 0.0000 0.6618
Mg5 Mg 0.2661 0.2498 0.4194
Mg6 Mg 0.2749 0.0000 0.1547
Mg7 Mg 0.5000 0.2403 0.7591
Nb1 Nb 0.5000 0.0000 0.5100
Ni1 Ni 0.5000 0.0000 0.9943
```

Computed properties:
Formation enthalpy at 0 K in kJ/mol of formula units: 119
ΔE to the lowest computed polymorph in meV/atom: 8
V in Å³/atom: 20.90

A plane-wave DFT calculation with GGA-PBE was carried out for MgNbNi6 after structural relaxation.

Cell and atoms, written as CIF:
```
data_MgNbNi6
_chemical_formula_sum 'Mg8 Nb8 Ni48'
_cell_length_a 7.3223
_cell_length_b 10.3536
_cell_length_c 10.3574
_cell_angle_alpha 90.00
_cell_angle_beta 90.00
_cell_angle_gamma 90.00
_space_group_name_H-M_alt 'C m m m'
_space_group_IT_number 65
_space_group_name_Hall '-C 2 2'
loop_
_atom_site_label
_atom_site_type_symbol
_atom_site_fract_x
_atom_site_fract_y
_atom_site_fract_z
Mg1 Mg 0.0000 0.0000 0.2483
Mg2 Mg 0.0000 0.2514 0.0000
Nb1 Nb 0.0000 0.2520 0.5000
Nb2 Nb 0.0000 0.5000 0.2442
Ni1 Ni 0.0000 0.0000 0.0000
Ni2 Ni 0.0000 0.0000 0.5000
Ni3 Ni 0.0000 0.2512 0.2520
Ni4 Ni 0.0000 0.5000 0.0000
Ni5 Ni 0.0000 0.5000 0.5000
Ni6 Ni 0.2492 0.3752 0.1263
Ni7 Ni 0.2491 0.3749 0.3762
```

Computed properties:
Formation enthalpy at 0 K in kJ/mol of formula units: -174
V in Å³/atom: 12.27

| no. | total magnetic moment (μB per cell) |
| --- | --- |
| 1 | 0.00 |
| 2 | 0.00 |
| 3 | 0.00 |
| 4 | 0.00 |
| 5 | 0.00 |
| 6 | 2.56 |